No. 1
This record from Alexandria describes a relaxed CrTe2Os crystal. The functional is GGA-PBEsol.

Cell lengths 4.6840, 4.6840, 4.0226 Å; angles 90.00, 90.00, 101.57 degrees
Positions (direct):
Cr (0.0000, 0.0000, 0.0000)
Te (0.2735, 0.7265, 0.5000)
Te (0.7265, 0.2735, 0.5000)
Os (0.5000, 0.5000, 0.0000)

uncorrected formation energy	0.803	eV/atom

***

No. 2
This record from Alexandria describes a relaxed Cr2TeOs crystal. The functional is GGA-PBEsol.

Cell lengths 8.1188, 8.1188, 8.1188 Å; angles 20.78, 20.78, 20.78 degrees
Positions (direct):
Cr (0.0000, 0.0000, 0.0000)
Cr (0.2645, 0.2645, 0.2645)
Te (0.5097, 0.5097, 0.5097)
Os (0.7473, 0.7473, 0.7473)

uncorrected formation energy	0.660	eV/atom

***

No. 3
This record from Alexandria describes a relaxed CrTeOs crystal. The functional is GGA-PBEsol.

Cell lengths 5.7855, 5.7855, 5.7855 Å; angles 150.39, 150.39, 42.38 degrees
Positions (direct):
Cr (0.0000, 0.0000, 0.0000)
Te (0.3270, 0.3270, 0.0000)
Os (0.6315, 0.6315, 0.0000)

uncorrected formation energy	0.534	eV/atom

***

No. 4
This record from Alexandria describes a relaxed CrTeOs3 crystal. The functional is GGA-PBEsol.

Cell lengths 4.4568, 4.4568, 4.4568 Å; angles 90.00, 90.00, 90.00 degrees
Positions (direct):
Cr (0.0000, 0.0000, 0.0000)
Te (0.5000, 0.5000, 0.5000)
Os (0.0000, 0.0000, 0.5000)
Os (0.0000, 0.5000, 0.0000)
Os (0.5000, 0.0000, 0.0000)

uncorrected formation energy	1.775	eV/atom

***

No. 5
This record from Alexandria describes a relaxed TiCr2Os crystal. The functional is GGA-PBEsol.

Cell lengths 4.1638, 4.1638, 4.1638 Å; angles 60.00, 60.00, 60.00 degrees
Positions (direct):
Ti (0.0000, 0.0000, 0.0000)
Cr (0.2500, 0.2500, 0.2500)
Cr (0.7500, 0.7500, 0.7500)
Os (0.5000, 0.5000, 0.5000)

ΔH_f (0 K)	-0.1377	eV/atom

***

No. 6
This record from Alexandria describes a relaxed Tl2CrOs crystal. The functional is GGA-PBEsol.

Cell lengths 3.2224, 4.5031, 5.0386 Å; angles 90.00, 90.00, 90.00 degrees
Positions (direct):
Tl (0.0000, 0.0000, 0.0000)
Tl (0.5000, 0.0000, 0.5000)
Cr (0.0000, 0.5000, 0.5000)
Os (0.5000, 0.5000, 0.0000)

ΔH_f (0 K)	0.9590	eV/atom
distance to the lowest polymorph of the same formula	69	meV/atom

***

No. 7
This record from Alexandria describes a relaxed TlCrOs2 crystal. The functional is GGA-PBEsol.

Cell lengths 2.9638, 4.4916, 4.6363 Å; angles 90.00, 90.00, 90.00 degrees
Positions (direct):
Tl (0.0000, 0.0000, 0.0000)
Cr (0.5000, 0.0000, 0.5000)
Os (0.0000, 0.5000, 0.5000)
Os (0.5000, 0.5000, 0.0000)

ΔH_f (0 K)	0.9589	eV/atom
distance to the lowest polymorph of the same formula	360	meV/atom

***

No. 8
This record from Alexandria describes a relaxed Tl2CrOs crystal. The functional is GGA-PBEsol.

Cell lengths 4.8004, 4.8004, 5.1595 Å; angles 101.19, 101.19, 38.68 degrees
Positions (direct):
Tl (0.2479, 0.2479, 0.2466)
Tl (0.7521, 0.7521, 0.7534)
Cr (0.0000, 0.0000, 0.5000)
Os (0.5000, 0.5000, 0.0000)

ΔH_f (0 K)	0.8901	eV/atom
distance to the lowest polymorph of the same formula	0	meV/atom

***

No. 9
This record from Alexandria describes a relaxed TlCrOs2 crystal. The functional is GGA-PBEsol.

Cell lengths 9.1478, 9.1478, 9.1478 Å; angles 17.63, 17.63, 17.63 degrees
Positions (direct):
Tl (0.0000, 0.0000, 0.0000)
Cr (0.5000, 0.5000, 0.5000)
Os (0.2384, 0.2384, 0.2384)
Os (0.7616, 0.7616, 0.7616)

ΔH_f (0 K)	0.5989	eV/atom
distance to the lowest polymorph of the same formula	0	meV/atom

***

No. 10
This record from Alexandria describes a relaxed Tl2CrOs crystal. The functional is GGA-PBEsol.

Cell lengths 8.9129, 8.9129, 8.9129 Å; angles 20.25, 20.25, 20.25 degrees
Positions (direct):
Tl (0.2489, 0.2489, 0.2489)
Tl (0.7511, 0.7511, 0.7511)
Cr (0.0000, 0.0000, 0.0000)
Os (0.5000, 0.5000, 0.5000)

ΔH_f (0 K)	0.9676	eV/atom
distance to the lowest polymorph of the same formula	77	meV/atom

***

No. 11
This record from Alexandria describes a relaxed TlCrOs2 crystal. The functional is GGA-PBEsol.

Cell lengths 4.4092, 4.4092, 4.4092 Å; angles 60.00, 60.00, 60.00 degrees
Positions (direct):
Tl (0.0000, 0.0000, 0.0000)
Cr (0.5000, 0.5000, 0.5000)
Os (0.2500, 0.2500, 0.2500)
Os (0.7500, 0.7500, 0.7500)

ΔH_f (0 K)	0.8224	eV/atom
distance to the lowest polymorph of the same formula	224	meV/atom

***

No. 12
This record from Alexandria describes a relaxed Tl2CrOs crystal. The functional is GGA-PBEsol.

Cell lengths 4.6977, 4.6977, 4.6977 Å; angles 60.00, 60.00, 60.00 degrees
Positions (direct):
Tl (0.0000, 0.0000, 0.0000)
Tl (0.2500, 0.2500, 0.2500)
Cr (0.7500, 0.7500, 0.7500)
Os (0.5000, 0.5000, 0.5000)

ΔH_f (0 K)	1.0910	eV/atom
distance to the lowest polymorph of the same formula	201	meV/atom

***

No. 13
This record from Alexandria describes a relaxed Cr2OsW crystal. The functional is GGA-PBEsol.

Cell lengths 4.5230, 4.5230, 4.5230 Å; angles 130.03, 130.03, 73.36 degrees
Positions (direct):
Cr (0.2500, 0.7500, 0.5000)
Cr (0.7500, 0.2500, 0.5000)
Os (0.0000, 0.0000, 0.0000)
W (0.5000, 0.5000, 0.0000)

ΔH_f (0 K)	0.2718	eV/atom

***

No. 14
This record from Alexandria describes a relaxed CrOsW2 crystal. The functional is GGA-PBEsol.

Cell lengths 2.6956, 4.2763, 5.0619 Å; angles 90.00, 100.93, 90.00 degrees
Positions (direct):
Cr (0.0000, 0.0000, 0.0000)
Os (0.7207, 0.5000, 0.2605)
W (0.2081, 0.5000, 0.7740)
W (0.4433, 0.0000, 0.5021)

ΔH_f (0 K)	0.1919	eV/atom
distance to the lowest polymorph of the same formula	0	meV/atom

***

No. 15
This record from Alexandria describes a relaxed CrOsW2 crystal. The functional is GGA-PBEsol.

Cell lengths 4.7340, 4.7340, 4.6861 Å; angles 100.15, 100.15, 34.00 degrees
Positions (direct):
Cr (0.0000, 0.0000, 0.0000)
Os (0.5000, 0.5000, 0.5000)
W (0.2485, 0.2485, 0.7510)
W (0.7515, 0.7515, 0.2490)

ΔH_f (0 K)	0.3322	eV/atom
distance to the lowest polymorph of the same formula	140	meV/atom

***

No. 16
This record from Alexandria describes a relaxed YCr2Os crystal. The functional is GGA-PBEsol.

Cell lengths 2.9640, 2.9640, 6.9630 Å; angles 90.00, 90.00, 90.00 degrees
Positions (direct):
Y (0.0000, 0.0000, 0.0000)
Cr (0.0000, 0.0000, 0.4804)
Cr (0.5000, 0.5000, 0.3105)
Os (0.5000, 0.5000, 0.6883)

ΔH_f (0 K)	0.3055	eV/atom
distance to the lowest polymorph of the same formula	0	meV/atom

***

| no. | volume (Å³ per atom) |
| --- | --- |
| 1 | 21.6 |
| 2 | 14.7 |
| 3 | 15.7 |
| 4 | 17.7 |
| 5 | 12.8 |
| 6 | 18.3 |
| 7 | 15.4 |
| 8 | 18.2 |
| 9 | 15.3 |
| 10 | 18.6 |
| 11 | 15.2 |
| 12 | 18.3 |
| 13 | 13.2 |
| 14 | 14.3 |
| 15 | 14.4 |
| 16 | 15.3 |